1.
VASP calculation (PBE) on a geometry-optimized HOsRh structure.

POSCAR file:
```
HOsRh
1.0
1.957 -1.959 0.000
1.957 1.959 0.000
-0.040 0.000 8.210
H Os Rh
2 2 2
Direct
0.247 0.753 0.000 H
0.753 0.247 0.000 H
0.249 0.249 0.389 Os
0.751 0.751 0.611 Os
0.253 0.253 0.848 Rh
0.747 0.747 0.152 Rh
```

- space-group type = C2/m, No. 12
- density of states at the Fermi level (states/eV per cell) = 3.96
- distance to the lowest polymorph of the same formula (eV per atom) = 0.000

2.
VASP calculation (PBE) on a geometry-optimized CsBa2LiI6 structure.

POSCAR file:
```
CsBa2LiI6
1.0
8.797 0.000 0.000
-4.393 7.623 0.000
0.000 -5.076 7.828
Cs Ba Li I
1 2 1 6
Direct
0.000 0.000 0.000 Cs
0.203 0.405 0.607 Ba
0.721 0.442 0.163 Ba
0.540 0.079 0.616 Li
0.139 0.574 0.356 I
0.363 0.269 0.833 I
0.436 0.217 0.356 I
0.564 0.927 0.832 I
0.782 0.921 0.356 I
0.906 0.470 0.833 I
```

- space-group type = P1, No. 1
- energy relative to the elements, uncorrected (kJ/mol of formula units) = -1515.4
- density of states at the Fermi level (states/eV per cell) = 0.00

3.
VASP calculation (PBE) on a geometry-optimized TmMgScCu structure.

POSCAR file:
```
TmMgScCu
1.0
0.000 3.501 3.501
3.501 0.000 3.501
3.501 3.501 0.000
Tm Mg Sc Cu
1 1 1 1
Direct
0.000 0.000 0.000 Tm
0.750 0.750 0.750 Mg
0.500 0.500 0.500 Sc
0.250 0.250 0.250 Cu
```

- space-group type = F-43m, No. 216
- formation energy (eV per atom) = -0.05
- density of states at the Fermi level (states/eV per cell) = 4.84
- distance to the lowest polymorph of the same formula (eV per atom) = 0.100

4.
VASP calculation (PBE) on a geometry-optimized Tb4Y3TmS8 structure.

POSCAR file:
```
Tb4Y3TmS8
1.0
3.913 2.259 6.395
-3.913 2.259 6.395
0.000 -4.518 6.395
Tb Y Tm S
4 3 1 8
Direct
0.000 0.000 0.000 Tb
0.000 0.500 0.500 Tb
0.500 0.000 0.500 Tb
0.500 0.500 0.000 Tb
0.000 0.000 0.500 Y
0.000 0.500 0.000 Y
0.500 0.000 0.000 Y
0.500 0.500 0.500 Tm
0.250 0.250 0.250 S
0.252 0.747 0.747 S
0.253 0.253 0.748 S
0.253 0.748 0.253 S
0.747 0.252 0.747 S
0.747 0.747 0.252 S
0.748 0.253 0.253 S
0.750 0.750 0.750 S
```

- space-group type = R-3m, No. 166
- energy relative to the elements, uncorrected (kJ/mol of formula units) = -3072.3
- density of states at the Fermi level (states/eV per cell) = 9.23

Please write out number 1 again, unchanged.
VASP calculation (PBE) on a geometry-optimized HOsRh structure.

POSCAR file:
```
HOsRh
1.0
1.957 -1.959 0.000
1.957 1.959 0.000
-0.040 0.000 8.210
H Os Rh
2 2 2
Direct
0.247 0.753 0.000 H
0.753 0.247 0.000 H
0.249 0.249 0.389 Os
0.751 0.751 0.611 Os
0.253 0.253 0.848 Rh
0.747 0.747 0.152 Rh
```

- space-group type = C2/m, No. 12
- density of states at the Fermi level (states/eV per cell) = 3.96
- distance to the lowest polymorph of the same formula (eV per atom) = 0.000

Number 4 is which compound?
Tb4Y3TmS8